Material: Hf2Ga3Re
Method: DFT, PBE-GGA
State: relaxed

Calculated values
- Calculated formation energy: -375 meV per atom
- DOS(E_F): 10.465 states/eV/cell

The structure in CIF format:
```
data_Hf2Ga3Re
_chemical_formula_sum 'Hf6 Ga9 Re3'
_cell_length_a 5.2220
_cell_length_b 5.2220
_cell_length_c 12.8968
_cell_angle_alpha 90.00
_cell_angle_beta 90.00
_cell_angle_gamma 120.00
_space_group_name_H-M_alt 'R -3 m'
_space_group_IT_number 166
_space_group_name_Hall '-R 3 2"'
loop_
_atom_site_label
_atom_site_type_symbol
_atom_site_fract_x
_atom_site_fract_y
_atom_site_fract_z
Hf1 Hf 0.0000 0.0000 0.1309
Ga1 Ga 0.0000 0.5000 0.0000
Re1 Re 0.0000 0.0000 0.5000
```